No. 1
VASP calculation (PBE) on a relaxed structure of KRb2Pb.

a b c (Å): 5.736 8.822 10.528
angles (deg): 93.38 90.22 108.96
Positions (direct):
Pb 0.378 0.580 0.141
Pb 0.209 0.243 0.026
K 0.024 0.871 0.222
K 0.752 0.325 0.261
Rb 0.162 0.153 0.643
Rb 0.563 0.951 0.931
Rb 0.840 0.505 0.886
Rb 0.429 0.676 0.503

Calculated values
E: -1.757 eV/atom
V: 62.85 A^3/atom
E above lowest polymorph: 4.1 meV per atom
Symmetry: P1, No. 1
Magnetic moment: 0.00 Bohr magnetons per cell

=====

No. 2
VASP calculation (PBE) on a relaxed structure of K2RbPb2.

a b c (Å): 6.385 6.385 7.379
angles (deg): 64.80 64.80 60.16
Positions (direct):
K 0.728 0.228 0.317
K 0.272 0.772 0.683
Rb 0.500 0.000 0.000
Pb 0.924 0.424 0.725
Pb 0.076 0.576 0.275

Calculated values
E: -2.227 eV/atom
V: 45.43 A^3/atom
E above lowest polymorph: 2.9 meV per atom
Symmetry: C2/m, No. 12
Magnetic moment: 0.00 Bohr magnetons per cell

=====

No. 3
VASP calculation (PBE) on a relaxed structure of KRbPb2.

a b c (Å): 6.111 6.859 9.212
angles (deg): 90.00 90.00 116.45
Positions (direct):
K 0.913 0.820 0.250
K 0.087 0.180 0.750
Rb 0.420 0.845 0.750
Rb 0.580 0.155 0.250
Pb 0.259 0.514 0.417
Pb 0.741 0.486 0.583
Pb 0.259 0.514 0.083
Pb 0.741 0.486 0.917

Calculated values
E: -2.474 eV/atom
V: 43.21 A^3/atom
E above lowest polymorph: 0.0 meV per atom
Symmetry: P2_1/m, No. 11
Magnetic moment: 0.00 Bohr magnetons per cell

=====

No. 4
VASP calculation (PBE) on a relaxed structure of K17Rb11Pb.

a b c (Å): 14.370 14.370 13.842
angles (deg): 108.91 108.91 109.73
Positions (direct):
K 0.998 0.998 0.351
K 0.697 0.697 0.302
K 0.609 0.609 0.600
K 0.364 0.364 0.692
K 0.946 0.946 0.977
K 0.336 0.559 0.043
K 0.432 0.724 0.406
K 0.011 0.314 0.598
K 0.962 0.369 0.976
K 0.265 0.651 0.648
K 0.605 0.006 0.320
K 0.006 0.605 0.320
K 0.651 0.265 0.648
K 0.369 0.962 0.976
K 0.314 0.011 0.598
K 0.724 0.432 0.406
K 0.559 0.336 0.043
Rb 0.214 0.214 0.952
Rb 0.594 0.783 0.981
Rb 0.200 0.380 0.305
Rb 0.835 0.025 0.646
Rb 0.613 0.011 0.808
Rb 0.828 0.204 0.203
Rb 0.204 0.828 0.203
Rb 0.011 0.613 0.808
Rb 0.025 0.835 0.646
Rb 0.380 0.200 0.305
Rb 0.783 0.594 0.981
Pb 0.462 0.462 0.261

Calculated values
E: -1.129 eV/atom
V: 76.66 A^3/atom
Symmetry: Cm, No. 8
Magnetic moment: 0.00 Bohr magnetons per cell

=====

No. 5
VASP calculation (PBE) on a relaxed structure of KRbPb.

a b c (Å): 3.726 6.304 6.304
angles (deg): 120.00 90.00 90.00
Positions (direct):
Pb 0.015 0.000 0.000
K 0.408 0.333 0.667
Rb 0.577 0.667 0.333

Calculated values
E: -1.932 eV/atom
V: 42.74 A^3/atom
E above lowest polymorph: 97.7 meV per atom
Symmetry: P3m1, No. 156
Magnetic moment: 0.00 Bohr magnetons per cell

=====

No. 6
VASP calculation (PBE) on a relaxed structure of K2RbPb2.

a b c (Å): 10.369 10.369 3.908
angles (deg): 90.00 90.00 90.00
Positions (direct):
Pb 0.107 0.607 0.500
Pb 0.607 0.893 0.500
Pb 0.893 0.393 0.500
Pb 0.393 0.107 0.500
K 0.316 0.816 0.000
K 0.816 0.684 0.000
K 0.684 0.184 0.000
K 0.184 0.316 0.000
Rb 0.000 0.000 0.000
Rb 0.500 0.500 0.000

Calculated values
E: -2.170 eV/atom
V: 42.01 A^3/atom
E above lowest polymorph: 60.3 meV per atom
Symmetry: P4/mbm, No. 127
Magnetic moment: 0.00 Bohr magnetons per cell

=====

No. 7
VASP calculation (PBE) on a relaxed structure of K3Rb2Pb2.

a b c (Å): 6.343 7.636 9.342
angles (deg): 68.79 70.15 65.46
Positions (direct):
K 0.500 0.000 0.000
K 0.356 0.836 0.452
K 0.644 0.164 0.548
Rb 0.161 0.482 0.197
Rb 0.839 0.518 0.803
Pb 0.107 0.958 0.828
Pb 0.893 0.042 0.172

Calculated values
E: -1.872 eV/atom
V: 53.43 A^3/atom
Symmetry: C2/m, No. 12
Magnetic moment: 0.49 Bohr magnetons per cell

=====

No. 8
VASP calculation (PBE) on a relaxed structure of KRbPb4.

a b c (Å): 5.510 7.019 7.019
angles (deg): 75.54 66.89 66.89
Positions (direct):
K 0.561 0.439 0.439
Rb 0.437 0.063 0.063
Pb 0.160 0.656 0.025
Pb 0.842 0.842 0.475
Pb 0.842 0.475 0.842
Pb 0.160 0.025 0.656

Calculated values
E: -2.951 eV/atom
V: 38.03 A^3/atom
E above lowest polymorph: 0.0 meV per atom
Symmetry: Imm2, No. 44
Magnetic moment: 0.00 Bohr magnetons per cell